Record 1
CuSi2Hg (GGA-PBEsol, optimized geometry); Fermi-level density of states = 1.4 states/eV/cell; total energy = -3.7977 eV per atom; spin magnetization = 0.0 μB/f.u.
1.0
2.769 0.000 0.000
1.384 2.398 0.000
1.384 0.799 9.916
Si Cu Hg
2 1 1
direct
0.767 0.767 0.698 Si
0.233 0.233 0.302 Si
0.500 0.500 0.500 Cu
0.000 0.000 0.000 Hg

---

Record 2
AsPtRh2 (GGA-PBEsol, optimized geometry); ΔE_f = -60 meV/atom; Fermi-level density of states = 4.1 states/eV/cell; spin magnetization = 0.0 μB/f.u.
1.0
2.786 0.000 0.000
0.000 4.547 0.000
0.000 0.000 4.547
As Rh Pt
1 2 1
direct
0.500 0.500 0.500 As
0.000 0.000 0.500 Rh
0.000 0.500 0.000 Rh
0.500 0.000 0.000 Pt

---

Record 3
HfPdAu (GGA-PBEsol, optimized geometry); ΔE_f = -818 meV/atom; Fermi-level density of states = 1.0 states/eV/cell; spin magnetization = 0.0 μB/f.u.
1.0
3.455 0.000 0.000
0.000 3.455 0.000
-1.727 -1.727 4.286
Pd Au Hf
1 1 1
direct
0.950 0.950 0.899 Pd
0.277 0.277 0.554 Au
0.609 0.609 0.218 Hf

---

Record 4
NbS2IN (GGA-PBEsol, optimized geometry); Fermi-level density of states = 3.5 states/eV/cell; total energy = -4.5603 eV per atom; spin magnetization = 2.8 μB/f.u.
1.0
3.832 0.000 0.000
0.000 5.070 0.000
0.000 0.000 5.070
I S Nb N
1 2 1 1
direct
0.000 0.000 0.000 I
0.000 0.000 0.500 S
0.000 0.500 0.000 S
0.500 0.500 0.500 Nb
0.500 0.000 0.000 N

---

Record 5
Ta2AlCd (GGA-PBEsol, optimized geometry); excess energy over the best structure of this formula in the dataset = 0 meV/atom; ΔE_f = 64 meV/atom; Fermi-level density of states = 2.4 states/eV/cell; spin magnetization = 0.0 μB/f.u.
1.0
2.877 0.000 0.004
0.000 4.588 0.000
-0.544 0.000 5.284
Al Cd Ta
1 1 2
direct
0.378 0.000 0.470 Al
0.376 0.500 0.764 Cd
0.781 0.500 0.273 Ta
0.964 0.000 0.992 Ta

---

Record 6
CsRb3B (GGA-PBEsol, optimized geometry); ΔE_f = 1486 meV/atom; Fermi-level density of states = 9.9 states/eV/cell; spin magnetization = 1.8 μB/f.u.
1.0
8.218 0.000 0.000
0.000 8.218 0.000
0.000 0.000 8.218
Rb B Cs
3 1 1
direct
0.000 0.000 0.500 Rb
0.500 0.000 0.000 Rb
0.000 0.500 0.000 Rb
0.500 0.500 0.500 B
0.000 0.000 0.000 Cs

---

Record 7
IrRuCl2 (GGA-PBEsol, optimized geometry); excess energy over the best structure of this formula in the dataset = 0 meV/atom; Fermi-level density of states = 4.1 states/eV/cell; spin magnetization = 0.0 μB/f.u.
1.0
2.926 0.000 0.000
1.463 2.534 0.000
1.463 0.845 8.186
Ir Ru Cl
1 1 2
direct
0.000 0.000 0.000 Ir
0.500 0.500 0.500 Ru
0.908 0.908 0.276 Cl
0.092 0.092 0.724 Cl

---

Record 8
FeGeOs3 (GGA-PBEsol, optimized geometry); ΔE_f = 1824 meV/atom; Fermi-level density of states = 5.5 states/eV/cell; spin magnetization = 0.0 μB/f.u.
1.0
-3.644 1.296 -2.043
-1.953 -3.756 1.101
-1.428 1.829 3.708
Os Ge Fe
3 1 1
direct
0.000 0.500 0.000 Os
0.500 0.000 0.000 Os
0.000 0.000 0.500 Os
0.500 0.500 0.500 Ge
0.000 0.000 0.000 Fe

---

Record 9
YBiTe2N (GGA-PBEsol, optimized geometry); Fermi-level density of states = 4.5 states/eV/cell; total energy = -5.2293 eV per atom; spin magnetization = 0.5 μB/f.u.
1.0
-1.497 -3.234 -1.995
-0.735 -2.818 5.119
-5.430 2.235 0.451
N Te Y Bi
1 2 1 1
direct
0.500 0.000 0.000 N
0.000 0.500 0.000 Te
0.000 0.000 0.500 Te
0.000 0.000 0.000 Y
0.500 0.500 0.500 Bi

---

Record 10
MgOsPb2 (GGA-PBEsol, optimized geometry); ΔE_f = 403 meV/atom; Fermi-level density of states = 3.8 states/eV/cell; spin magnetization = 0.0 μB/f.u.
1.0
-0.341 -3.079 -0.991
2.635 -0.843 1.711
-4.836 -1.607 6.656
Os Pb Mg
1 2 1
direct
0.500 0.500 0.728 Os
0.500 0.500 0.285 Pb
0.000 0.000 0.931 Pb
0.000 0.000 0.556 Mg

---

Record 11
CaTlRu2 (GGA-PBEsol, optimized geometry); excess energy over the best structure of this formula in the dataset = 329 meV/atom; ΔE_f = 520 meV/atom; Fermi-level density of states = 5.7 states/eV/cell; spin magnetization = 0.7 μB/f.u.
1.0
-0.655 -3.159 -1.350
4.090 -0.080 -1.799
1.594 -1.915 3.709
Tl Ca Ru
1 1 2
direct
0.500 0.500 0.500 Tl
0.500 0.000 0.000 Ca
0.000 0.500 0.000 Ru
0.000 0.000 0.500 Ru

---

Record 12
LiZrMn (GGA-PBEsol, optimized geometry); excess energy over the best structure of this formula in the dataset = 504 meV/atom; ΔE_f = 857 meV/atom; Fermi-level density of states = 2.5 states/eV/cell; spin magnetization = 1.5 μB/f.u.
1.0
4.120 0.000 0.000
2.060 3.568 0.000
2.060 1.189 3.364
Zr Mn Li
1 1 1
direct
0.500 0.500 0.500 Zr
0.000 0.000 0.000 Mn
0.250 0.250 0.250 Li

---

Record 13
Co2NiW (GGA-PBEsol, optimized geometry); excess energy over the best structure of this formula in the dataset = 19 meV/atom; ΔE_f = -61 meV/atom; Fermi-level density of states = 4.7 states/eV/cell; spin magnetization = 1.0 μB/f.u.
1.0
-1.480 -1.218 -2.969
-0.785 -3.033 1.636
-2.065 3.507 1.694
Co W Ni
2 1 1
direct
0.750 0.250 0.500 Co
0.500 0.500 0.000 Co
0.250 0.750 0.500 W
0.000 0.000 0.000 Ni

---

Record 14
EuIn4 (GGA-PBEsol, optimized geometry); ΔE_f = -328 meV/atom; Fermi-level density of states = 15.5 states/eV/cell; spin magnetization = 7.0 μB/f.u.
1.0
5.018 0.000 0.000
2.509 5.840 0.019
2.509 1.854 8.891
Eu In
2 8
direct
0.165 0.371 0.299 Eu
0.835 0.629 0.701 Eu
0.836 0.284 0.044 In
0.414 0.738 0.435 In
0.586 0.262 0.565 In
0.164 0.716 0.956 In
0.855 0.958 0.333 In
0.553 0.782 0.111 In
0.447 0.218 0.889 In
0.145 0.042 0.667 In

---

Record 15
PbAuO2 (GGA-PBEsol, optimized geometry); Fermi-level density of states = 1.3 states/eV/cell; total energy = -5.1647 eV per atom; spin magnetization = 0.0 μB/f.u.
1.0
-1.267 0.483 -3.312
-2.261 -6.077 -0.021
-4.478 4.184 2.323
Au O Pb
2 4 2
direct
0.000 0.500 0.000 Au
0.500 0.000 0.000 Au
0.000 0.583 0.324 O
0.500 0.861 0.676 O
0.000 0.417 0.676 O
0.500 0.139 0.324 O
0.500 0.500 0.500 Pb
0.000 0.000 0.500 Pb

---

Record 16
YTl2Si (GGA-PBEsol, optimized geometry); excess energy over the best structure of this formula in the dataset = 311 meV/atom; Fermi-level density of states = 3.1 states/eV/cell; spin magnetization = 0.0 μB/f.u.
1.0
-2.948 1.646 0.640
-1.343 -0.048 3.162
3.431 8.390 3.452
Tl Y Si
2 1 1
direct
0.743 0.743 0.772 Tl
0.257 0.257 0.228 Tl
0.500 0.500 0.500 Y
0.000 0.000 0.000 Si

---

Record 17
Y2ReSCl (GGA-PBEsol, optimized geometry); Fermi-level density of states = 5.8 states/eV/cell; total energy = -6.2327 eV per atom; spin magnetization = 1.1 μB/f.u.
1.0
4.478 0.000 0.000
0.000 5.163 0.000
0.000 0.000 5.163
Y S Re Cl
2 1 1 1
direct
0.000 0.500 0.000 Y
0.000 0.000 0.500 Y
0.000 0.000 0.000 S
0.500 0.500 0.500 Re
0.500 0.000 0.000 Cl

---

Record 18
SrCdFe2 (GGA-PBEsol, optimized geometry); ΔE_f = 354 meV/atom; Fermi-level density of states = 3.7 states/eV/cell; spin magnetization = 4.8 μB/f.u.
1.0
3.165 0.000 0.000
0.000 3.165 0.000
0.000 0.000 7.556
Sr Cd Fe
1 1 2
direct
0.000 0.000 0.470 Sr
0.500 0.500 0.812 Cd
0.000 0.000 0.049 Fe
0.500 0.500 0.169 Fe

---

Record 19
SrLaPt2 (GGA-PBEsol, optimized geometry); excess energy over the best structure of this formula in the dataset = 52 meV/atom; ΔE_f = -856 meV/atom; Fermi-level density of states = 1.8 states/eV/cell; spin magnetization = 0.0 μB/f.u.
1.0
-2.037 -1.853 4.278
2.147 -3.986 2.321
2.400 0.632 4.442
Pt La Sr
2 1 1
direct
0.250 0.250 0.250 Pt
0.750 0.750 0.750 Pt
0.500 0.500 0.500 La
0.000 0.000 0.000 Sr

---

Record 20
Sr4CdP (GGA-PBEsol, optimized geometry); ΔE_f = 497 meV/atom; Fermi-level density of states = 7.5 states/eV/cell; spin magnetization = 0.0 μB/f.u.
1.0
-1.894 2.955 -5.764
3.056 -1.631 -5.792
-3.317 -3.552 -4.682
Sr P Cd
4 1 1
direct
0.374 0.374 0.374 Sr
0.374 0.374 0.878 Sr
0.374 0.878 0.374 Sr
0.878 0.374 0.374 Sr
0.000 0.000 0.000 P
0.750 0.750 0.750 Cd